<a>
# DyYTh2 GGA-PBE relaxed
data_DyYTh2
_chemical_formula_sum 'Dy1 Y1 Th2'
_cell_length_a 3.556
_cell_length_b 3.556
_cell_length_c 10.169
_cell_angle_alpha 90.00
_cell_angle_beta 90.00
_cell_angle_gamma 90.00
_symmetry_space_group_name_H-M 'P 4/m m m'
_symmetry_Int_Tables_number 123
_symmetry_space_group_name_Hall '-P 4 2'
loop_
_atom_site_label
_atom_site_type_symbol
_atom_site_fract_x
_atom_site_fract_y
_atom_site_fract_z
Dy1 Dy 0.000 0.000 0.000
Y1 Y 0.000 0.000 0.500
Th1 Th 0.500 0.500 0.249
# density: 9241 kg/m3
# total moment: 0.0 Bohr magnetons per cell

***

<b>
# DyYTh2 GGA-PBE relaxed
data_DyYTh2
_chemical_formula_sum 'Dy2 Y2 Th4'
_cell_length_a 5.055
_cell_length_b 5.063
_cell_length_c 10.083
_cell_angle_alpha 90.00
_cell_angle_beta 90.07
_cell_angle_gamma 90.00
_symmetry_space_group_name_H-M 'P 1 21/m 1'
_symmetry_Int_Tables_number 11
_symmetry_space_group_name_Hall '-P 2yb'
loop_
_atom_site_label
_atom_site_type_symbol
_atom_site_fract_x
_atom_site_fract_y
_atom_site_fract_z
Dy1 Dy 0.000 0.250 0.130
Y1 Y 0.500 0.250 0.871
Th1 Th 0.000 0.250 0.623
Th2 Th 0.500 0.250 0.378
# density: 9208 kg/m3
# total moment: 0.0 Bohr magnetons per cell

***

<c>
# DyYTh2 GGA-PBE relaxed
data_DyYTh2
_chemical_formula_sum 'Dy3 Y3 Th6'
_cell_length_a 3.5667
_cell_length_b 3.5667
_cell_length_c 34.8845
_cell_angle_alpha 90.00
_cell_angle_beta 90.00
_cell_angle_gamma 120.00
_symmetry_space_group_name_H-M 'R 3 m'
_symmetry_Int_Tables_number 160
_symmetry_space_group_name_Hall 'R 3 -2"'
loop_
_atom_site_label
_atom_site_type_symbol
_atom_site_fract_x
_atom_site_fract_y
_atom_site_fract_z
Dy1 Dy 0.0000 0.0000 0.0000
Y1 Y 0.0000 0.0000 0.1700
Th1 Th 0.0000 0.0000 0.5855
Th2 Th 0.0000 0.0000 0.7509
# density: 9274 kg/m3
# total moment: 0.0 Bohr magnetons per cell

***

On energetic grounds, <b> is preferred over the next structure by 11 meV per atom.